Pm2SmTl4, optimized geometry, DFT PBE; excess energy over the best structure of this formula in the dataset = 0.0 meV/atom; VASP energy = -3.621 eV/atom; formation energy = -1.7 eV/f.u.
1.0
7.5991 0.0000 0.0000
0.0000 7.5991 0.0000
0.0000 0.0000 7.7520
Pm Sm Tl
4 2 8
Cartesian
0.0000 3.7996 0.0000
0.0000 3.7996 3.8760
3.7996 0.0000 0.0000
3.7996 0.0000 3.8760
0.0000 0.0000 0.0000
3.7996 3.7996 3.8760
1.8998 1.8998 1.9380
1.8998 1.8998 5.8140
1.8998 5.6993 1.9380
1.8998 5.6993 5.8140
5.6993 1.8998 1.9380
5.6993 1.8998 5.8140
5.6993 5.6993 1.9380
5.6993 5.6993 5.8140



Pm2Sm3Tl, optimized geometry, DFT PBE; excess energy over the best structure of this formula in the dataset = 8.7 meV/atom; VASP energy = -4.434 eV/atom; formation energy = -0.6 eV/f.u.
1.0
-2.6250 4.6643 7.9412
2.6250 -4.6643 7.9412
2.6250 4.6643 -7.9412
Pm Sm Tl
4 6 2
Cartesian
0.0000 2.3321 0.4201
2.6250 2.3321 2.8068
0.0000 2.3321 5.1344
2.6250 2.3321 7.5211
2.6250 0.0000 0.0000
2.6250 4.3203 -5.2254
2.6250 -0.3440 5.2254
0.0000 0.0000 7.9412
0.0000 5.0083 2.7158
0.0000 0.3440 13.1667
2.6250 2.3321 -2.3324
0.0000 2.3321 10.2737



Pm2SmTl2, optimized geometry, DFT PBE; excess energy over the best structure of this formula in the dataset = 110.2 meV/atom; VASP energy = -3.836 eV/atom; formation energy = -0.2 eV/f.u.
1.0
5.2488 0.0000 0.0000
-2.6244 4.5456 0.0000
0.0000 0.0000 13.1091
Pm Sm Tl
4 2 4
Cartesian
0.0000 0.0000 0.0000
0.0000 0.0000 6.5546
0.0000 3.0304 3.2773
2.6244 1.5152 9.8318
0.0000 0.0000 3.2773
0.0000 0.0000 9.8318
0.0000 3.0304 8.2286
0.0000 3.0304 11.4351
2.6244 1.5152 1.6740
2.6244 1.5152 4.8805



Pm3SmTl3, optimized geometry, DFT PBE; excess energy over the best structure of this formula in the dataset = 48.9 meV/atom; VASP energy = -3.958 eV/atom; formation energy = -1.6 eV/f.u.
1.0
5.4261 -5.4602 0.0000
5.4261 5.4602 0.0000
0.0000 0.0000 7.4455
Pm Sm Tl
6 2 6
Cartesian
2.5395 0.0000 3.7227
5.4261 2.8695 0.0000
2.6441 0.0000 0.0000
8.2081 0.0000 0.0000
5.4261 -2.8695 0.0000
8.3127 0.0000 3.7227
5.4261 2.7734 3.7227
5.4261 -2.7734 3.7227
2.7131 2.7301 1.8714
2.7131 2.7301 5.5741
2.7131 -2.7301 1.8714
2.7131 -2.7301 5.5741
5.4261 0.0000 1.8702
5.4261 0.0000 5.5753



Pm3Sm4Tl4, optimized geometry, DFT PBE; VASP energy = -4.117 eV/atom; formation energy = -2.7 eV/f.u.
1.0
-1.8834 4.8016 9.6139
1.8834 -4.8016 9.6139
1.8834 4.8016 -9.6139
Pm Sm Tl
3 4 4
Cartesian
0.0000 0.0000 0.0000
1.8834 0.0000 7.7623
0.0000 4.8016 1.8517
1.8834 1.7635 -3.1411
1.8834 1.7635 3.1411
0.0000 3.0381 6.4728
0.0000 3.0381 12.7551
0.0000 0.0000 5.1857
1.8834 2.6803 0.0000
0.0000 2.1213 9.6139
0.0000 0.0000 14.0422



Pm2SmTl2, optimized geometry, DFT PBE; excess energy over the best structure of this formula in the dataset = 0.0 meV/atom; VASP energy = -3.946 eV/atom; formation energy = -0.8 eV/f.u.
1.0
9.3023 0.0000 0.0000
0.0000 9.3023 0.0000
0.0000 0.0000 3.5440
Pm Sm Tl
4 2 4
Cartesian
1.1313 3.5198 0.0000
3.5198 8.1710 0.0000
5.7825 1.1313 0.0000
8.1710 5.7825 0.0000
0.0000 0.0000 0.0000
4.6512 4.6512 0.0000
1.6474 6.2986 1.7720
3.0037 1.6474 1.7720
6.2986 7.6549 1.7720
7.6549 3.0037 1.7720



> Which of these has the highest VASP energy?

Pm2SmTl4